[1]
DFT (PBE) results for LiEuGe after structural relaxation.

total magnetic moment = 7.41 μB per formula unit
SG = I4mm (107)
ΔH_f (0 K) = -0.3057 eV per atom
DOS at the Fermi energy = 1.42 states/eV/atom

Structure (extended XYZ):
```
3
Lattice="3.575 0.000 0.000 0.000 3.575 0.000 -1.787 -1.787 5.470" Properties=species:S:1:pos:R:3 pbc="T T T"
Eu 1.787 1.787 5.031
Ge 1.787 1.787 1.599
Li 0.000 0.000 2.668
```

***

[2]
DFT (PBE) results for LiEuGe4 after structural relaxation.

total magnetic moment = 6.36 μB per formula unit
SG = F-43m (216)
ΔH_f (0 K) = -0.2283 eV per atom
DOS at the Fermi energy = 1.29 states/eV/atom

Structure (extended XYZ):
```
6
Lattice="-3.309 3.970 2.223 -1.217 -0.103 5.491 2.183 3.880 3.438" Properties=species:S:1:pos:R:3 pbc="T T T"
Eu -0.586 1.937 2.788
Ge -2.560 2.899 5.250
Ge -0.854 4.897 4.220
Ge -1.465 4.845 6.974
Ge 0.195 2.854 5.860
Li 0.000 0.000 0.000
```

***

[3]
DFT (PBE) results for LiEuGe after structural relaxation.

total magnetic moment = 5.95 μB per formula unit
SG = F-43m (216)
ΔH_f (0 K) = -0.3058 eV per atom
DOS at the Fermi energy = 1.12 states/eV/atom

Structure (extended XYZ):
```
3
Lattice="4.876 0.000 0.000 2.438 4.223 0.000 2.438 1.408 3.982" Properties=species:S:1:pos:R:3 pbc="T T T"
Eu 0.000 0.000 0.000
Ge 2.438 1.408 0.995
Li 4.876 2.815 1.991
```

***

[4]
DFT (PBE) results for LiEuGe after structural relaxation.

total magnetic moment = 6.87 μB per formula unit
SG = P-6m2 (187)
ΔH_f (0 K) = -0.4850 eV per atom
DOS at the Fermi energy = 3.21 states/eV/atom

Structure (extended XYZ):
```
3
Lattice="-2.206 -2.856 -0.290 1.071 -0.365 -4.548 2.546 -2.292 3.199" Properties=species:S:1:pos:R:3 pbc="T T T"
Eu 0.584 -3.554 0.423
Ge 1.195 -1.484 -2.014
Li -0.367 -0.476 -0.048
```

***

[5]
DFT (PBE) results for LiEuLuGe after structural relaxation.

total magnetic moment = 7.40 μB per formula unit
SG = F-43m (216)
ΔH_f (0 K) = -0.3424 eV per atom
DOS at the Fermi energy = 0.99 states/eV/atom

Structure (extended XYZ):
```
4
Lattice="-2.035 3.832 2.681 -4.795 -0.343 1.703 -0.900 -0.573 4.987" Properties=species:S:1:pos:R:3 pbc="T T T"
Eu -3.865 1.458 4.686
Ge -1.933 0.729 2.343
Lu 0.000 0.000 0.000
Li -5.798 2.187 7.028
```

***

[6]
DFT (PBE) results for LiEuNiGe after structural relaxation.

total magnetic moment = 6.38 μB per formula unit
SG = F-43m (216)
ΔH_f (0 K) = -0.2711 eV per atom
DOS at the Fermi energy = 2.39 states/eV/atom

Structure (extended XYZ):
```
4
Lattice="-3.885 -1.688 1.782 -0.187 -1.126 4.451 -2.488 2.542 2.911" Properties=species:S:1:pos:R:3 pbc="T T T"
Eu -4.920 -0.205 6.858
Ni 0.000 0.000 0.000
Ge -1.640 -0.068 2.286
Li -3.280 -0.136 4.572
```

***

[7]
DFT (PBE) results for LiEuGePd after structural relaxation.

total magnetic moment = 6.70 μB per formula unit
SG = F-43m (216)
ΔH_f (0 K) = -0.4843 eV per atom
DOS at the Fermi energy = 3.13 states/eV/atom

Structure (extended XYZ):
```
4
Lattice="-0.390 0.753 -4.677 -4.193 -0.588 -2.161 -2.395 3.778 -1.608" Properties=species:S:1:pos:R:3 pbc="T T T"
Eu -5.233 2.957 -6.334
Ge -1.744 0.986 -2.111
Pd 0.000 0.000 0.000
Li -3.489 1.971 -4.223
```

***

[8]
DFT (PBE) results for LiPmEuGe after structural relaxation.

total magnetic moment = 7.50 μB per formula unit
SG = F-43m (216)
ΔH_f (0 K) = -0.3813 eV per atom
DOS at the Fermi energy = 2.23 states/eV/atom

Structure (extended XYZ):
```
4
Lattice="-3.965 -2.366 -2.468 -2.997 -3.444 2.563 -4.943 1.225 1.214" Properties=species:S:1:pos:R:3 pbc="T T T"
Eu 0.000 0.000 0.000
Ge -2.976 -1.146 0.327
Li -8.928 -3.439 0.982
Pm -5.952 -2.292 0.655
```

***

total magnetic moment of number 2 (LiEuGe4)? 6.36 μB per formula unit

***

total magnetic moment of number 3 (LiEuGe)? 5.95 μB per formula unit

***

Among the records above, which one has the highest DOS at the Fermi energy? number 4

***

Among the records above, which one has the highest ΔH_f (0 K)? LiEuGe4